No. 1
# PBE KSn, relaxed
# total magnetization	0.00	μB/f.u.
# formation enthalpy at 0 K	0.4740	eV per atom
data_KSn
_chemical_formula_sum 'K4 Sn4'
_cell_length_a 7.0610
_cell_length_b 7.0610
_cell_length_c 7.0610
_cell_angle_alpha 90.00
_cell_angle_beta 90.00
_cell_angle_gamma 90.00
_space_group_name_H-M_alt 'P 1'
_space_group_IT_number 1
_space_group_name_Hall 'P 1'
loop_
_atom_site_label
_atom_site_type_symbol
_atom_site_fract_x
_atom_site_fract_y
_atom_site_fract_z
K1 K 0.0000 0.5000 0.5000
K2 K 0.5000 0.5000 0.0000
K3 K 0.5000 0.0000 0.5000
K4 K 0.0000 0.0000 0.0000
Sn1 Sn 0.0000 0.5000 0.0000
Sn2 Sn 0.5000 0.5000 0.5000
Sn3 Sn 0.0000 0.0000 0.5000
Sn4 Sn 0.5000 0.0000 0.0000

No. 2
# PBE NpZnP, relaxed
# total magnetization	3.35	μB/f.u.
# formation enthalpy at 0 K	-0.2655	eV per atom
data_NpZnP
_chemical_formula_sum 'Np2 Zn2 P2'
_cell_length_a 4.5315
_cell_length_b 4.5315
_cell_length_c 7.6447
_cell_angle_alpha 72.76
_cell_angle_beta 72.76
_cell_angle_gamma 60.00
_space_group_name_H-M_alt 'P 1'
_space_group_IT_number 1
_space_group_name_Hall 'P 1'
loop_
_atom_site_label
_atom_site_type_symbol
_atom_site_fract_x
_atom_site_fract_y
_atom_site_fract_z
Np1 Np 0.5901 0.5901 0.2296
Np2 Np 0.4099 0.4099 0.7704
P1 P 0.2855 0.2855 0.1435
P2 P 0.7145 0.7145 0.8565
Zn1 Zn 0.8310 0.8310 0.5070
Zn2 Zn 0.1690 0.1690 0.4930

No. 3
# PBE NaLaCd3, relaxed
# total magnetization	0.00	μB/f.u.
# energy above the most stable polymorph in this dataset	0.0	meV per atom
# formation enthalpy at 0 K	0.1776	eV per atom
data_NaLaCd3
_chemical_formula_sum 'Na1 La1 Cd3'
_cell_length_a 5.2482
_cell_length_b 5.2482
_cell_length_c 5.2482
_cell_angle_alpha 90.00
_cell_angle_beta 90.00
_cell_angle_gamma 90.00
_space_group_name_H-M_alt 'P 1'
_space_group_IT_number 1
_space_group_name_Hall 'P 1'
loop_
_atom_site_label
_atom_site_type_symbol
_atom_site_fract_x
_atom_site_fract_y
_atom_site_fract_z
Cd1 Cd 0.5000 0.0000 0.0000
Cd2 Cd 0.0000 0.0000 0.5000
Cd3 Cd 0.0000 0.5000 0.0000
La1 La 0.5000 0.5000 0.5000
Na1 Na 0.0000 0.0000 0.0000

Repeat the first record exactly.
# PBE KSn, relaxed
# total magnetization	0.00	μB/f.u.
# formation enthalpy at 0 K	0.4740	eV per atom
data_KSn
_chemical_formula_sum 'K4 Sn4'
_cell_length_a 7.0610
_cell_length_b 7.0610
_cell_length_c 7.0610
_cell_angle_alpha 90.00
_cell_angle_beta 90.00
_cell_angle_gamma 90.00
_space_group_name_H-M_alt 'P 1'
_space_group_IT_number 1
_space_group_name_Hall 'P 1'
loop_
_atom_site_label
_atom_site_type_symbol
_atom_site_fract_x
_atom_site_fract_y
_atom_site_fract_z
K1 K 0.0000 0.5000 0.5000
K2 K 0.5000 0.5000 0.0000
K3 K 0.5000 0.0000 0.5000
K4 K 0.0000 0.0000 0.0000
Sn1 Sn 0.0000 0.5000 0.0000
Sn2 Sn 0.5000 0.5000 0.5000
Sn3 Sn 0.0000 0.0000 0.5000
Sn4 Sn 0.5000 0.0000 0.0000